i:
{"formula": "AcMgSn6", "functional": "PBE-GGA", "state": "relaxed", "n_ef_per_ev_cell": 3.41, "spacegroup": "P4/mmm, No. 123", "cell": [[4.937, 0.000, 0.000], [0.000, 4.937, 0.000], [0.000, 0.000, 9.131]], "species": ["Ac", "Mg", "Sn", "Sn", "Sn", "Sn", "Sn", "Sn"], "frac_coords": [[0.000, 0.000, 0.000], [0.000, 0.000, 0.500], [0.500, 0.500, 0.000], [0.500, 0.500, 0.500], [0.500, 0.000, 0.273], [0.500, 0.000, 0.727], [0.000, 0.500, 0.273], [0.000, 0.500, 0.727]]}

ii:
{"formula": "AcMgSn6", "functional": "PBE-GGA", "state": "relaxed", "n_ef_per_ev_cell": 3.68, "spacegroup": "Amm2, No. 38", "cell": [[5.321, 0.000, 0.000], [0.000, 6.233, -3.322], [0.000, -0.219, 7.059]], "species": ["Ac", "Mg", "Sn", "Sn", "Sn", "Sn", "Sn", "Sn"], "frac_coords": [[0.500, 0.416, 0.584], [0.000, 0.086, 0.914], [0.000, 0.040, 0.394], [0.000, 0.606, 0.960], [0.000, 0.604, 0.396], [0.500, 0.387, 0.070], [0.500, 0.930, 0.613], [0.500, 0.931, 0.069]]}

i is preferred energetically. Next in line: 0.021 eV/atom higher.

i:
{"formula": "Ac3MgSn3", "functional": "PBE-GGA", "state": "relaxed", "n_ef_per_ev_cell": 12.35, "spacegroup": "P6_3/m, No. 176", "cell": [[6.754, 0.000, 0.000], [0.000, 9.919, 0.000], [0.000, -4.959, 8.590]], "species": ["Ac", "Ac", "Ac", "Ac", "Ac", "Ac", "Mg", "Mg", "Sn", "Sn", "Sn", "Sn", "Sn", "Sn"], "frac_coords": [[0.750, 0.698, 0.646], [0.750, 0.354, 0.052], [0.750, 0.948, 0.302], [0.250, 0.302, 0.354], [0.250, 0.646, 0.948], [0.250, 0.052, 0.698], [0.250, 0.667, 0.333], [0.750, 0.333, 0.667], [0.250, 0.683, 0.632], [0.250, 0.368, 0.050], [0.250, 0.950, 0.317], [0.750, 0.317, 0.368], [0.750, 0.632, 0.950], [0.750, 0.050, 0.683]]}

ii:
{"formula": "Ac3MgSn3", "functional": "PBE-GGA", "state": "relaxed", "n_ef_per_ev_cell": 9.64, "spacegroup": "C2/m, No. 12", "cell": [[4.888, 0.000, 0.736], [2.395, 6.260, 0.694], [0.195, 0.326, 15.303]], "species": ["Ac", "Ac", "Ac", "Ac", "Ac", "Ac", "Mg", "Mg", "Sn", "Sn", "Sn", "Sn", "Sn", "Sn"], "frac_coords": [[0.523, 0.335, 0.620], [0.477, 0.665, 0.380], [0.257, 0.262, 0.225], [0.743, 0.738, 0.775], [0.401, 0.279, 0.919], [0.599, 0.721, 0.081], [0.766, 0.067, 0.400], [0.234, 0.933, 0.600], [0.861, 0.729, 0.550], [0.139, 0.271, 0.450], [0.121, 0.833, 0.924], [0.879, 0.167, 0.076], [0.969, 0.830, 0.232], [0.031, 0.170, 0.768]]}

ii is preferred energetically. Next in line: 0.222 eV/atom higher.

i:
{"formula": "Ac2MgSn2", "functional": "PBE-GGA", "state": "relaxed", "n_ef_per_ev_cell": 2.97, "spacegroup": "Ibam, No. 72", "cell": [[6.920, 0.000, 0.000], [0.000, 7.190, 0.000], [-3.460, -3.595, 7.027]], "species": ["Ac", "Ac", "Ac", "Ac", "Mg", "Mg", "Sn", "Sn", "Sn", "Sn"], "frac_coords": [[0.860, 0.658, 0.720], [0.140, 0.342, 0.280], [0.640, 0.938, 0.280], [0.360, 0.062, 0.720], [0.750, 0.500, 0.000], [0.250, 0.500, 0.000], [0.382, 0.612, 0.764], [0.618, 0.388, 0.236], [0.118, 0.849, 0.236], [0.882, 0.151, 0.764]]}

ii:
{"formula": "Ac2MgSn2", "functional": "PBE-GGA", "state": "relaxed", "n_ef_per_ev_cell": 6.89, "spacegroup": "P4/mbm, No. 127", "cell": [[8.149, 0.000, 0.000], [0.000, 8.149, 0.000], [0.000, 0.000, 9.956]], "species": ["Ac", "Ac", "Ac", "Ac", "Ac", "Ac", "Ac", "Ac", "Mg", "Mg", "Mg", "Mg", "Sn", "Sn", "Sn", "Sn", "Sn", "Sn", "Sn", "Sn"], "frac_coords": [[0.676, 0.824, 0.500], [0.324, 0.176, 0.500], [0.824, 0.324, 0.000], [0.176, 0.676, 0.000], [0.824, 0.324, 0.500], [0.176, 0.676, 0.500], [0.324, 0.176, 0.000], [0.676, 0.824, 0.000], [0.500, 0.500, 0.250], [0.000, 0.000, 0.750], [0.500, 0.500, 0.750], [0.000, 0.000, 0.250], [0.373, 0.873, 0.250], [0.627, 0.127, 0.250], [0.127, 0.373, 0.750], [0.873, 0.627, 0.750], [0.873, 0.627, 0.250], [0.127, 0.373, 0.250], [0.373, 0.873, 0.750], [0.627, 0.127, 0.750]]}

ii is preferred energetically. Next in line: 0.075 eV/atom higher.